First-principles (PBE-GGA) data for crystalline Tl2NiCl8 at its relaxed geometry, as listed in Alexandria. Values from VASP.

```
&SYSTEM
  ibrav = 0, nat = 11, ntyp = 3
/
ATOMIC_SPECIES
Cl 35.45 Cl.upf
Tl 204.38 Tl.upf
Ni 58.69 Ni.upf
CELL_PARAMETERS angstrom
-7.781 5.260 0.584
-4.134 -2.671 5.876
-0.361 2.770 7.138
ATOMIC_POSITIONS crystal
Cl 0.866 0.330 0.867
Cl 0.866 0.867 0.330
Cl 0.722 0.397 0.397
Cl 0.134 0.670 0.133
Cl 0.134 0.133 0.670
Cl 0.559 0.799 0.799
Cl 0.441 0.201 0.201
Cl 0.278 0.603 0.603
Tl 0.679 0.236 0.236
Tl 0.321 0.764 0.764
Ni 0.000 0.000 0.000
```

- volume (A^3/atom) = 37.43
- uncorrected formation energy (eV/f.u.) = -6.6
- total moment (μB per cell) = 0.15